# 1
# CoCuGeW

Crystalline CoCuGeW at its relaxed geometry (PBE, OQMD).

```
data_CoCuGeW
_cell_length_a 5.9577
_cell_length_b 5.9577
_cell_length_c 5.9577
_cell_angle_alpha 90.00
_cell_angle_beta 90.00
_cell_angle_gamma 90.00
_symmetry_space_group_name_H-M 'F -4 3 m'
_symmetry_Int_Tables_number 216
_symmetry_space_group_name_Hall 'F -4 2 3'
loop_
_atom_site_label
_atom_site_type_symbol
_atom_site_fract_x
_atom_site_fract_y
_atom_site_fract_z
_atom_site_occupancy
Co1 Co 0.0000 0.0000 0.0000 1
Cu1 Cu 0.0000 0.0000 0.5000 1
Ge1 Ge 0.2500 0.2500 0.7500 1
W1 W 0.2500 0.2500 0.2500 1
```

Relative energy among the computed polymorphs (eV per formula unit): 0.36
Volume (Å³ per cell): 211

=====

# 2
# YCoCuGe

Crystalline YCoCuGe at its relaxed geometry (PBE, OQMD).

```
data_YCoCuGe
_cell_length_a 6.4689
_cell_length_b 6.4689
_cell_length_c 6.4689
_cell_angle_alpha 90.00
_cell_angle_beta 90.00
_cell_angle_gamma 90.00
_symmetry_space_group_name_H-M 'F -4 3 m'
_symmetry_Int_Tables_number 216
_symmetry_space_group_name_Hall 'F -4 2 3'
loop_
_atom_site_label
_atom_site_type_symbol
_atom_site_fract_x
_atom_site_fract_y
_atom_site_fract_z
_atom_site_occupancy
Y1 Y 0.0000 0.0000 0.0000 1
Co1 Co 0.2500 0.2500 0.7500 1
Cu1 Cu 0.0000 0.0000 0.5000 1
Ge1 Ge 0.2500 0.2500 0.2500 1
```

Relative energy among the computed polymorphs (eV per formula unit): 0.72
Volume (Å³ per cell): 271

=====

# 3
# Y2CoCuGe4

Crystalline Y2CoCuGe4 at its relaxed geometry (PBE, OQMD).

```
data_Y2CoCuGe4
_cell_length_a 4.2163
_cell_length_b 4.1126
_cell_length_c 16.7702
_cell_angle_alpha 90.00
_cell_angle_beta 90.00
_cell_angle_gamma 90.00
_symmetry_space_group_name_H-M 'A m m 2'
_symmetry_Int_Tables_number 38
loop_
_symmetry_equiv_pos_as_xyz
'x,y,z'
'-x,-y,z'
'-x,y,z'
'x,-y,z'
'x,y+1/2,z+1/2'
'-x,-y+1/2,z+1/2'
'-x,y+1/2,z+1/2'
'x,-y+1/2,z+1/2'
loop_
_atom_site_label
_atom_site_type_symbol
_atom_site_fract_x
_atom_site_fract_y
_atom_site_fract_z
_atom_site_occupancy
Y1 Y 0.0000 0.0000 0.0000 1
Y2 Y 0.5000 0.0000 0.2157 1
Co1 Co 0.0000 0.0000 0.7924 1
Cu1 Cu 0.5000 0.0000 0.4385 1
Ge1 Ge 0.0000 0.0000 0.3576 1
Ge2 Ge 0.0000 0.0000 0.6574 1
Ge3 Ge 0.5000 0.0000 0.5765 1
Ge4 Ge 0.5000 0.0000 0.8545 1
```

Uncorrected energy (eV per atom): -5.87
Volume (Å³ per cell): 291

=====

# 4
# YCoCuGe

Crystalline YCoCuGe at its relaxed geometry (PBE, OQMD).

```
data_YCoCuGe
_cell_length_a 6.3102
_cell_length_b 6.3102
_cell_length_c 6.3102
_cell_angle_alpha 90.00
_cell_angle_beta 90.00
_cell_angle_gamma 90.00
_symmetry_space_group_name_H-M 'F -4 3 m'
_symmetry_Int_Tables_number 216
_symmetry_space_group_name_Hall 'F -4 2 3'
loop_
_atom_site_label
_atom_site_type_symbol
_atom_site_fract_x
_atom_site_fract_y
_atom_site_fract_z
_atom_site_occupancy
Y1 Y 0.0000 0.0000 0.0000 1
Co1 Co 0.2500 0.2500 0.7500 1
Cu1 Cu 0.2500 0.2500 0.2500 1
Ge1 Ge 0.0000 0.0000 0.5000 1
```

Relative energy among the computed polymorphs (eV per formula unit): 0.00
Volume (Å³ per cell): 251

=====

# 5
# ZnCoCu4Ge2

Crystalline ZnCoCu4Ge2 at its relaxed geometry (PBE, OQMD).

```
data_ZnCoCu4Ge2
_cell_length_a 4.1318
_cell_length_b 4.1318
_cell_length_c 6.1052
_cell_angle_alpha 90.00
_cell_angle_beta 90.00
_cell_angle_gamma 90.00
_symmetry_space_group_name_H-M 'P 4/m m m'
_symmetry_Int_Tables_number 123
_symmetry_space_group_name_Hall '-P 4 2'
loop_
_atom_site_label
_atom_site_type_symbol
_atom_site_fract_x
_atom_site_fract_y
_atom_site_fract_z
_atom_site_occupancy
Zn1 Zn 0.0000 0.0000 0.0000 1
Co1 Co 0.5000 0.5000 0.5000 1
Cu1 Cu 0.0000 0.5000 0.2531 1
Ge1 Ge 0.0000 0.0000 0.5000 1
Ge2 Ge 0.5000 0.5000 0.0000 1
```

Relative energy among the computed polymorphs (eV per formula unit): 0.00
Volume (Å³ per cell): 104

=====

# 6
# ZrCoCuGe

Crystalline ZrCoCuGe at its relaxed geometry (PBE, OQMD).

```
data_ZrCoCuGe
_cell_length_a 6.2142
_cell_length_b 6.2142
_cell_length_c 6.2142
_cell_angle_alpha 90.00
_cell_angle_beta 90.00
_cell_angle_gamma 90.00
_symmetry_space_group_name_H-M 'F -4 3 m'
_symmetry_Int_Tables_number 216
_symmetry_space_group_name_Hall 'F -4 2 3'
loop_
_atom_site_label
_atom_site_type_symbol
_atom_site_fract_x
_atom_site_fract_y
_atom_site_fract_z
_atom_site_occupancy
Zr1 Zr 0.0000 0.0000 0.0000 1
Co1 Co 0.2500 0.2500 0.7500 1
Cu1 Cu 0.0000 0.0000 0.5000 1
Ge1 Ge 0.2500 0.2500 0.2500 1
```

Relative energy among the computed polymorphs (eV per formula unit): 0.71
Volume (Å³ per cell): 240

=====

# 7
# ZrCoCuGe

Crystalline ZrCoCuGe at its relaxed geometry (PBE, OQMD).

```
data_ZrCoCuGe
_cell_length_a 6.1339
_cell_length_b 6.1339
_cell_length_c 6.1339
_cell_angle_alpha 90.00
_cell_angle_beta 90.00
_cell_angle_gamma 90.00
_symmetry_space_group_name_H-M 'F -4 3 m'
_symmetry_Int_Tables_number 216
_symmetry_space_group_name_Hall 'F -4 2 3'
loop_
_atom_site_label
_atom_site_type_symbol
_atom_site_fract_x
_atom_site_fract_y
_atom_site_fract_z
_atom_site_occupancy
Zr1 Zr 0.0000 0.0000 0.0000 1
Co1 Co 0.2500 0.2500 0.7500 1
Cu1 Cu 0.2500 0.2500 0.2500 1
Ge1 Ge 0.0000 0.0000 0.5000 1
```

Relative energy among the computed polymorphs (eV per formula unit): 0.00
Volume (Å³ per cell): 231

=====

# 8
# ZrCoCuGe

Crystalline ZrCoCuGe at its relaxed geometry (PBE, OQMD).

```
data_ZrCoCuGe
_cell_length_a 6.1790
_cell_length_b 6.1790
_cell_length_c 6.1790
_cell_angle_alpha 90.00
_cell_angle_beta 90.00
_cell_angle_gamma 90.00
_symmetry_space_group_name_H-M 'F -4 3 m'
_symmetry_Int_Tables_number 216
_symmetry_space_group_name_Hall 'F -4 2 3'
loop_
_atom_site_label
_atom_site_type_symbol
_atom_site_fract_x
_atom_site_fract_y
_atom_site_fract_z
_atom_site_occupancy
Zr1 Zr 0.0000 0.0000 0.0000 1
Co1 Co 0.0000 0.0000 0.5000 1
Cu1 Cu 0.2500 0.2500 0.2500 1
Ge1 Ge 0.2500 0.2500 0.7500 1
```

Relative energy among the computed polymorphs (eV per formula unit): 0.47
Volume (Å³ per cell): 236

=====

# 9
# CoCu2H6Ir

Crystalline CoCu2H6Ir at its relaxed geometry (PBE, OQMD).

```
data_CoCu2H6Ir
_cell_length_a 6.6113
_cell_length_b 6.6113
_cell_length_c 6.6113
_cell_angle_alpha 90.00
_cell_angle_beta 90.00
_cell_angle_gamma 90.00
_symmetry_space_group_name_H-M 'F m -3 m'
_symmetry_Int_Tables_number 225
_symmetry_space_group_name_Hall '-F 4 2 3'
loop_
_atom_site_label
_atom_site_type_symbol
_atom_site_fract_x
_atom_site_fract_y
_atom_site_fract_z
_atom_site_occupancy
Co1 Co 0.0000 0.0000 0.0000 1
Cu1 Cu 0.2500 0.2500 0.2500 1
H1 H 0.0000 0.0000 0.2424 1
Ir1 Ir 0.0000 0.0000 0.5000 1
```

Uncorrected energy (eV per atom): -4.15
Volume (Å³ per cell): 289

=====

# 10
# K2CoCuH6

Crystalline K2CoCuH6 at its relaxed geometry (PBE, OQMD).

```
data_K2CoCuH6
_cell_length_a 7.3674
_cell_length_b 7.3674
_cell_length_c 7.3674
_cell_angle_alpha 90.00
_cell_angle_beta 90.00
_cell_angle_gamma 90.00
_symmetry_space_group_name_H-M 'F m -3 m'
_symmetry_Int_Tables_number 225
_symmetry_space_group_name_Hall '-F 4 2 3'
loop_
_atom_site_label
_atom_site_type_symbol
_atom_site_fract_x
_atom_site_fract_y
_atom_site_fract_z
_atom_site_occupancy
K1 K 0.2500 0.2500 0.2500 1
Co1 Co 0.0000 0.0000 0.0000 1
Cu1 Cu 0.0000 0.0000 0.5000 1
H1 H 0.0000 0.0000 0.2245 1
```

Uncorrected energy (eV per atom): -3.32
Volume (Å³ per cell): 400

=====

# 11
# Li2CoCuH6

Crystalline Li2CoCuH6 at its relaxed geometry (PBE, OQMD).

```
data_Li2CoCuH6
_cell_length_a 8.6039
_cell_length_b 7.1561
_cell_length_c 5.2738
_cell_angle_alpha 90.00
_cell_angle_beta 127.69
_cell_angle_gamma 90.00
_symmetry_space_group_name_H-M 'C 1 2/c 1'
_symmetry_Int_Tables_number 15
loop_
_symmetry_equiv_pos_as_xyz
'x,y,z'
'-x,-y,-z'
'-x,y,-z+1/2'
'x,-y,z+1/2'
'x+1/2,y+1/2,z'
'-x+1/2,-y+1/2,-z'
'-x+1/2,y+1/2,-z+1/2'
'x+1/2,-y+1/2,z+1/2'
loop_
_atom_site_label
_atom_site_type_symbol
_atom_site_fract_x
_atom_site_fract_y
_atom_site_fract_z
_atom_site_occupancy
Li1 Li 0.2495 0.2496 0.2420 1
Co1 Co 0.0000 0.0536 0.2500 1
Cu1 Cu 0.0000 0.4654 0.2500 1
H1 H 0.0004 0.3594 0.5362 1
H2 H 0.0010 0.1163 0.5514 1
H3 H 0.2330 0.0510 0.4830 1
```

Uncorrected energy (eV per atom): -3.54
Volume (Å³ per cell): 257

=====

# 12
# Sr2CoCuH6

Crystalline Sr2CoCuH6 at its relaxed geometry (PBE, OQMD).

```
data_Sr2CoCuH6
_cell_length_a 7.3933
_cell_length_b 7.3933
_cell_length_c 7.3933
_cell_angle_alpha 90.00
_cell_angle_beta 90.00
_cell_angle_gamma 90.00
_symmetry_space_group_name_H-M 'F m -3 m'
_symmetry_Int_Tables_number 225
_symmetry_space_group_name_Hall '-F 4 2 3'
loop_
_atom_site_label
_atom_site_type_symbol
_atom_site_fract_x
_atom_site_fract_y
_atom_site_fract_z
_atom_site_occupancy
Sr1 Sr 0.2500 0.2500 0.2500 1
Co1 Co 0.0000 0.0000 0.0000 1
Cu1 Cu 0.0000 0.0000 0.5000 1
H1 H 0.0000 0.0000 0.2271 1
```

Uncorrected energy (eV per atom): -3.80
Volume (Å³ per cell): 404